1.
Material: Pa2CoGe3
Method: DFT, PBE-GGA
State: relaxed

The density of states at the Fermi level is 1.1650 states/eV per atom. Its formation energy is -472 meV/atom. The value obtained for the excess energy over the best structure of this formula in the dataset is 0 meV per atom.

The space group is Pmm2 (No. 25) and the conventional cell measures 3.8809, 4.2211 and 7.1023 Å, with angles of 90.00, 90.00 and 90.00 degrees. The asymmetric unit holds Pa at (0.0000, 0.0000, 0.0000), Pa at (0.0000, 0.5000, 0.4751), Co at (0.5000, 0.0000, 0.3047), Ge at (0.5000, 0.0000, 0.6327), Ge at (0.5000, 0.5000, 0.1628) and Ge at (0.5000, 0.5000, 0.8146).

2.
Material: DyGa4Ni2Ir
Method: DFT, PBE-GGA
State: relaxed

The density of states at the Fermi level is 0.6014 states/eV per atom. Its formation energy is -465 meV/atom.

The space group is R-3m (No. 166, hexagonal axes) and the conventional cell measures 4.1228, 4.1228 and 26.3226 Å, with angles of 90.00, 90.00 and 120.00 degrees. The asymmetric unit holds Dy at (0.0000, 0.0000, 0.0000), Ga at (0.0000, 0.0000, 0.1280), Ga at (0.0000, 0.0000, 0.4002), Ni at (0.0000, 0.0000, 0.2312) and Ir at (0.0000, 0.0000, 0.5000).

3.
Material: NaTl6Sb3
Method: DFT, PBE-GGA
State: relaxed

Its uncorrected formation energy is -0.0140 eV/atom. The density of states at the Fermi level is 0.4568 states/eV per atom.

The space group is P2_1/m (No. 11) and the conventional cell measures 10.8865, 4.8240 and 13.2079 Å, with angles of 90.00, 107.55 and 90.00 degrees. The asymmetric unit holds Na at (0.0098, 0.2500, 0.2743), Tl at (0.0783, 0.2500, 0.9512), Tl at (0.2112, 0.7500, 0.4204), Tl at (0.2325, 0.7500, 0.1744), Tl at (0.2908, 0.7500, 0.6990), Tl at (0.4221, 0.2500, 0.5651), Tl at (0.4322, 0.2500, 0.0693), Sb at (0.0889, 0.2500, 0.5537), Sb at (0.2613, 0.7500, 0.9313) and Sb at (0.4024, 0.2500, 0.3044).

4.
Material: PuPaAs2
Method: DFT, PBE-GGA
State: relaxed

The density of states at the Fermi level is 2.9282 states/eV per atom. Its formation energy is -851 meV/atom. The value obtained for the excess energy over the best structure of this formula in the dataset is 205 meV per atom.

The space group is Fm-3m (No. 225) and the conventional cell measures 7.0749, 7.0749 and 7.0749 Å, with angles of 90.00, 90.00 and 90.00 degrees. The asymmetric unit holds Pu at (0.0000, 0.0000, 0.0000), Pa at (0.0000, 0.0000, 0.5000) and As at (0.2500, 0.2500, 0.2500).

5.
Material: Al3VC
Method: DFT, PBE-GGA
State: relaxed

The density of states at the Fermi level is 0.3042 states/eV per atom. Its formation energy is 1929 meV/atom. The value obtained for the excess energy over the best structure of this formula in the dataset is 1465 meV per atom.

The space group is Pm-3m (No. 221) and the conventional cell measures 4.8724, 4.8724 and 4.8724 Å, with angles of 90.00, 90.00 and 90.00 degrees. The asymmetric unit holds Al at (0.0000, 0.0000, 0.5000), V at (0.0000, 0.0000, 0.0000) and C at (0.5000, 0.5000, 0.5000).

6.
Material: KInTe
Method: DFT, PBE-GGA
State: relaxed

Its uncorrected formation energy is -0.5866 eV/atom. The value obtained for the excess energy over the best structure of this formula in the dataset is 92 meV per atom.

The space group is P3m1 (No. 156) and the conventional cell measures 4.5964, 4.5964 and 6.5311 Å, with angles of 90.00, 90.00 and 120.00 degrees. The asymmetric unit holds K at (0.0000, 0.0000, 0.0000), In at (0.3333, 0.6667, 0.5857) and Te at (0.6667, 0.3333, 0.3460).